Entry 1:
# In4Br3

A geometry-optimized In4Br3 structure (PBE, the Alexandria database).

Calculated values
Raw total energy = -17.167 eV for the cell shown

a b c (Å): 7.0605 7.0605 5.5310
angles (deg): 90.00 90.00 120.00
Last column: nearest neighbours and their distance in Å.
Sites, in units of the cell vectors:
In  0.0000  0.0000  0.2443  2 In 2.70-2.83
In  0.0000  0.0000  0.7557  2 In 2.70-2.83
In  0.3333  0.6667  0.5000  6 Br 3.44
In  0.6667  0.3333  0.5000  6 Br 3.44
Br  0.0000  0.5000  0.0000  8 In 3.44-3.78, 4 Br 3.53
Br  0.5000  0.0000  0.0000  8 In 3.44-3.78, 4 Br 3.53
Br  0.5000  0.5000  0.0000  8 In 3.44-3.78, 4 Br 3.53

=====

Entry 2:
# ZrCr2N2

A geometry-optimized ZrCr2N2 structure (PBE, the Alexandria database).

Calculated values
Offset from the most stable computed form = 0.302 eV per atom

a b c (Å): 6.0305 6.0305 2.9732
angles (deg): 90.00 90.00 90.00
Last column: nearest neighbours and their distance in Å.
Sites, in units of the cell vectors:
Zr  0.0000  0.0000  0.0000  4 N 2.31
Zr  0.5000  0.5000  0.0000  4 N 2.31
Cr  0.1205  0.3795  0.5000  1 Cr 2.06, 4 N 2.19
Cr  0.3795  0.8795  0.5000  1 Cr 2.06, 4 N 2.19
Cr  0.6205  0.1205  0.5000  1 Cr 2.06, 4 N 2.19
Cr  0.8795  0.6205  0.5000  1 Cr 2.06, 4 N 2.19
N  0.1454  0.6454  0.0000  4 Cr 2.19, 2 Zr 2.31
N  0.3546  0.1454  0.0000  4 Cr 2.19, 2 Zr 2.31
N  0.6454  0.8546  0.0000  4 Cr 2.19, 2 Zr 2.31
N  0.8546  0.3546  0.0000  4 Cr 2.19, 2 Zr 2.31

=====

Entry 3:
# K3Ho3ThSe8

A geometry-optimized K3Ho3ThSe8 structure (PBE, the Alexandria database).

Calculated values
Raw total energy = -78.713 eV for the cell shown

a b c (Å): 9.1813 9.1813 9.1813
angles (deg): 54.40 54.40 54.40
Last column: nearest neighbours and their distance in Å.
Sites, in units of the cell vectors:
K  0.0000  0.5000  0.5000  6 Se 3.36
K  0.5000  0.0000  0.5000  6 Se 3.36
K  0.5000  0.5000  0.0000  6 Se 3.36
Ho  0.0000  0.0000  0.5000  6 Se 2.88-2.89
Ho  0.0000  0.5000  0.0000  6 Se 2.88-2.89
Ho  0.5000  0.0000  0.0000  6 Se 2.88-2.89
Th  0.5000  0.5000  0.5000  6 Se 2.93
Se  0.2293  0.7369  0.7369  2 Ho 2.88, 1 Th 2.93
Se  0.2341  0.2341  0.2341  3 Ho 2.89
Se  0.2631  0.2631  0.7707  2 Ho 2.88, 1 Th 2.93
Se  0.2631  0.7707  0.2631  2 Ho 2.88, 1 Th 2.93
Se  0.7369  0.2293  0.7369  2 Ho 2.88, 1 Th 2.93
Se  0.7369  0.7369  0.2293  2 Ho 2.88, 1 Th 2.93
Se  0.7659  0.7659  0.7659  3 Ho 2.89
Se  0.7707  0.2631  0.2631  2 Ho 2.88, 1 Th 2.93

=====

Entry 4:
# Sn2SbOs

A geometry-optimized Sn2SbOs structure (PBE, the Alexandria database).

Calculated values
Offset from the most stable computed form = 0.000 eV per atom

a b c (Å): 7.7469 7.7469 7.7469
angles (deg): 131.54 131.54 70.96
Last column: nearest neighbours and their distance in Å.
Sites, in units of the cell vectors:
Sn  0.0763  0.6250  0.9513  2 Os 2.58
Sn  0.3750  0.3263  0.4513  2 Os 2.58
Sn  0.6737  0.1250  0.0487  2 Os 2.58
Sn  0.8750  0.9237  0.5487  2 Os 2.58
Sb  0.2500  0.7500  0.5000  4 Sn 2.94
Sb  0.5000  0.5000  0.0000  4 Sn 2.94
Os  0.0000  0.0000  0.0000  4 Sn 2.58
Os  0.7500  0.2500  0.5000  4 Sn 2.58

=====

Entry 5:
# Ac2AgPPd6

A geometry-optimized Ac2AgPPd6 structure (PBE, the Alexandria database).

Calculated values
E_form = -6.8 eV per formula unit

a b c (Å): 5.6329 6.4058 7.1919
angles (deg): 75.99 67.02 63.95
Last column: nearest neighbours and their distance in Å.
Sites, in units of the cell vectors:
Ac  0.2301  0.2438  0.2970  7 Pd 3.10-3.39
Ac  0.7699  0.7562  0.7030  7 Pd 3.10-3.39
Ag  0.5000  0.5000  0.5000  6 Pd 2.72-2.73
P  0.0000  0.0000  0.0000  6 Pd 2.33-2.40
Pd  0.2479  0.6125  0.8906  1 P 2.40
Pd  0.2519  0.2219  0.7825  1 P 2.33
Pd  0.2579  0.7783  0.2167  1 P 2.33
Pd  0.7421  0.2217  0.7833  1 P 2.33
Pd  0.7481  0.7781  0.2175  1 P 2.33
Pd  0.7521  0.3875  0.1094  1 P 2.40

=====

Entry 6:
# PmNpH

A geometry-optimized PmNpH structure (PBE, the Alexandria database).

Calculated values
Raw total energy = -20.025 eV for the cell shown

a b c (Å): 6.9217 6.5343 3.3272
angles (deg): 82.26 69.30 28.44
Last column: nearest neighbours and their distance in Å.
Sites, in units of the cell vectors:
Pm  0.0000  0.0000  0.0000  2 H 2.45
Np  0.2696  0.2696  0.7304  2 H 2.38
H  0.6390  0.6390  0.3610  2 Np 2.38, 2 Pm 2.45

=====

Entry 7:
# InCoRe2

A geometry-optimized InCoRe2 structure (PBE, the Alexandria database).

Calculated values
E_form = 1.7 eV per formula unit

a b c (Å): 4.4226 4.4226 4.4226
angles (deg): 60.00 60.00 60.00
Last column: nearest neighbours and their distance in Å.
Sites, in units of the cell vectors:
In  0.0000  0.0000  0.0000  4 Co 2.71, 4 Re 2.71
Co  0.7500  0.7500  0.7500  4 In 2.71, 4 Re 2.71
Re  0.2500  0.2500  0.2500  4 In 2.71, 4 Re 2.71
Re  0.5000  0.5000  0.5000  4 Co 2.71, 4 Re 2.71

=====

Entry 8:
# Tb2Nd6Dy3Y

A geometry-optimized Tb2Nd6Dy3Y structure (PBE, the Alexandria database).

Calculated values
E_form = 0.1 eV per formula unit

a b c (Å): 6.2847 6.2847 11.8923
angles (deg): 95.03 95.03 119.99
Last column: nearest neighbours and their distance in Å.
Sites, in units of the cell vectors:
Tb  0.1666  0.8334  0.0000  6 Nd 3.60-3.61, 3 Tb 3.63, 3 Y 3.63
Tb  0.8334  0.1666  0.0000  6 Nd 3.60-3.61, 3 Tb 3.63, 3 Y 3.63
Nd  0.0819  0.4159  0.7495  3 Dy 3.59-3.60, 2 Tb 3.60-3.61, 1 Y 3.61, 6 Nd 3.62-3.64
Nd  0.2502  0.2502  0.2508  3 Dy 3.59, 1 Y 3.61, 2 Tb 3.61, 6 Nd 3.62-3.64
Nd  0.4159  0.0819  0.7495  3 Dy 3.59-3.60, 2 Tb 3.60-3.61, 1 Y 3.61, 6 Nd 3.62-3.64
Nd  0.5841  0.9181  0.2505  3 Dy 3.59-3.60, 2 Tb 3.60-3.61, 1 Y 3.61, 6 Nd 3.62-3.64
Nd  0.7498  0.7498  0.7492  3 Dy 3.59, 1 Y 3.61, 2 Tb 3.61, 6 Nd 3.62-3.64
Nd  0.9181  0.5841  0.2505  3 Dy 3.59-3.60, 2 Tb 3.60-3.61, 1 Y 3.61, 6 Nd 3.62-3.64
Dy  0.0000  0.0000  0.5000  6 Nd 3.59, 6 Dy 3.63
Dy  0.3333  0.6667  0.5000  6 Nd 3.59-3.60, 6 Dy 3.63
Dy  0.6667  0.3333  0.5000  6 Nd 3.59-3.60, 6 Dy 3.63
Y  0.5000  0.5000  0.0000  6 Nd 3.61, 6 Tb 3.63

=====

no.,theoretical density (Mg/m³)
1,4.9
2,6.9
3,5.2
4,7.2
5,9.6
6,10.3
7,14.8
8,7.3